1.
Entry from the Alexandria database: a relaxed structure of HfNi2Br (PBE).

Cell lengths 7.034, 7.034, 5.632 Å; angles 51.36, 51.36, 90.00 degrees
Fractional positions:
Ni 0.142 0.625 0.250
Ni 0.875 0.858 0.750
Ni 0.375 0.392 0.750
Ni 0.608 0.125 0.250
Hf 0.750 0.250 0.500
Hf 0.000 0.000 0.000
Br 0.250 0.750 0.500
Br 0.500 0.500 0.000

total DFT energy (no corrections)	-0.2088	hartree per atom
distance to the lowest polymorph of the same formula	0.000	eV/atom
density of states at the Fermi level	4.858	states/eV/f.u.
symmetry	I-42d



2.
Entry from the Alexandria database: a relaxed structure of TaSe2Br (PBE).

Cell lengths 4.758, 4.758, 4.758 Å; angles 120.05, 120.05, 89.92 degrees
Fractional positions:
Se 0.000 0.000 0.000
Se 0.250 0.750 0.500
Br 0.750 0.250 0.500
Ta 0.500 0.500 0.000

total DFT energy (no corrections)	-0.1743	hartree per atom
distance to the lowest polymorph of the same formula	1.069	eV/atom
density of states at the Fermi level	3.267	states/eV/f.u.
symmetry	F-43m